Density functional theory data (SCAN) for BePt at its PBEsol-relaxed geometry.

Cell and atoms, written as POSCAR:
```
BePt
1.0
-1.680 1.680 4.199
1.680 -1.680 4.199
1.680 1.680 -4.199
Be Pt
2 2
direct
0.375 0.625 0.750 Be
0.625 0.375 0.250 Be
0.125 0.875 0.250 Pt
0.875 0.125 0.750 Pt
```

Calculated values
SG	I4_1/amd
formation enthalpy at 0 K	-1.180	eV/f.u.
density	14299	kg/m3
Fermi-level density of states	0.9	states/eV/f.u.
total magnetization	0.0000	μB per atom

=====

Density functional theory data (SCAN) for Be2SiBr at its PBEsol-relaxed geometry.

Cell and atoms, written as POSCAR:
```
Be2SiBr
1.0
2.645 -3.444 0.000
2.645 3.444 0.000
-1.914 0.000 3.355
Be Si Br
2 1 1
direct
0.000 0.500 0.000 Be
0.500 0.000 0.000 Be
0.000 0.000 0.500 Si
0.500 0.500 0.500 Br
```

Calculated values
SG	C2/m
formation energy (no corrections)	0.753	eV/atom
density	3424	kg/m3
Fermi-level density of states	1.2	states/eV/f.u.
total magnetization	0.0000	μB per atom

=====

- Which value of Fermi-level density of states does entry 2 give?
  1.2 states/eV/f.u.